Entry 1:
# Na2ThPbSe4 (PBE, optimized geometry)
data_Na2ThPbSe4
_space_group_name_H-M_alt 'P 1 2/m 1'
_space_group_IT_number 10
_space_group_name_Hall '-P 2y'
_cell_length_a 7.380
_cell_length_b 4.337
_cell_length_c 7.559
_cell_angle_alpha 90.00
_cell_angle_beta 109.24
_cell_angle_gamma 90.00
loop_
_atom_site_label
_atom_site_fract_x
_atom_site_fract_y
_atom_site_fract_z
_atom_site_occupancy
Na1 0.000 0.000 0.000 1
Na2 0.000 0.500 0.500 1
Th1 0.500 0.000 0.500 1
Pb1 0.500 0.500 0.000 1
Se1 0.261 0.000 0.735 1
Se2 0.265 0.500 0.269 1
# - VASP energy (eV per cell) = -37.89
# - formation energy from raw total energies (meV per atom) = -1273.0

=====

Entry 2:
# Na2ThPb3Se6 (PBE, optimized geometry)
data_Na2ThPb3Se6
_space_group_name_H-M_alt 'C 1 2/m 1'
_space_group_IT_number 12
_space_group_name_Hall '-C 2y'
_cell_length_a 7.494
_cell_length_b 12.961
_cell_length_c 7.558
_cell_angle_alpha 90.00
_cell_angle_beta 108.94
_cell_angle_gamma 90.00
loop_
_atom_site_label
_atom_site_fract_x
_atom_site_fract_y
_atom_site_fract_z
_atom_site_occupancy
Na1 0.000 0.168 0.000 1
Th1 0.000 0.500 0.000 1
Pb1 0.000 0.000 0.500 1
Pb2 0.000 0.335 0.500 1
Se1 0.236 0.500 0.754 1
Se2 0.238 0.342 0.236 1
# - VASP energy (eV per cell) = -109.09
# - formation energy from raw total energies (meV per atom) = -1038.1

=====

Entry 3:
# Na2TiPb3Se6 (PBE, optimized geometry)
data_Na2TiPb3Se6
_space_group_name_H-M_alt 'C 1 2/m 1'
_space_group_IT_number 12
_space_group_name_Hall '-C 2y'
_cell_length_a 7.373
_cell_length_b 12.665
_cell_length_c 7.221
_cell_angle_alpha 90.00
_cell_angle_beta 109.36
_cell_angle_gamma 90.00
loop_
_atom_site_label
_atom_site_fract_x
_atom_site_fract_y
_atom_site_fract_z
_atom_site_occupancy
Na1 0.000 0.167 0.000 1
Ti1 0.000 0.500 0.000 1
Pb1 0.000 0.000 0.500 1
Pb2 0.000 0.335 0.500 1
Se1 0.220 0.354 0.216 1
Se2 0.222 0.500 0.767 1
# - VASP energy (eV per cell) = -104.74
# - formation energy from raw total energies (meV per atom) = -816.9

=====

Entry 4:
# NaTlPbSe2 (PBE, optimized geometry)
data_NaTlPbSe2
_space_group_name_H-M_alt 'C 1 2/m 1'
_space_group_IT_number 12
_space_group_name_Hall '-C 2y'
_cell_length_a 15.855
_cell_length_b 4.959
_cell_length_c 9.414
_cell_angle_alpha 90.00
_cell_angle_beta 99.37
_cell_angle_gamma 90.00
loop_
_atom_site_label
_atom_site_fract_x
_atom_site_fract_y
_atom_site_fract_z
_atom_site_occupancy
Na1 0.193 0.000 0.058 1
Tl1 0.208 0.000 0.664 1
Pb1 0.053 0.500 0.220 1
Se1 0.123 0.500 0.961 1
Se2 0.153 0.000 0.343 1
# - VASP energy (eV per cell) = -68.98
# - formation energy from raw total energies (meV per atom) = -576.7

=====

Entry 5:
# Na2TlPbSe4 (PBE, optimized geometry)
data_Na2TlPbSe4
_space_group_name_H-M_alt 'C 1 2/c 1'
_space_group_IT_number 15
_space_group_name_Hall '-C 2yc'
_cell_length_a 11.927
_cell_length_b 11.978
_cell_length_c 8.434
_cell_angle_alpha 90.00
_cell_angle_beta 134.99
_cell_angle_gamma 90.00
loop_
_atom_site_label
_atom_site_fract_x
_atom_site_fract_y
_atom_site_fract_z
_atom_site_occupancy
Na1 0.000 0.000 0.000 1
Na2 0.250 0.250 0.000 1
Tl1 0.000 0.500 0.000 1
Pb1 0.250 0.250 0.500 1
Se1 0.000 0.255 0.001 1
Se2 0.237 0.498 0.487 1
# - VASP energy (eV per cell) = -108.51
# - formation energy from raw total energies (meV per atom) = -559.5

=====

Entry 6:
# NaTmPb2Se4 (PBE, optimized geometry)
data_NaTmPb2Se4
_space_group_name_H-M_alt 'P 1 2/m 1'
_space_group_IT_number 10
_space_group_name_Hall '-P 2y'
_cell_length_a 7.356
_cell_length_b 4.241
_cell_length_c 7.410
_cell_angle_alpha 90.00
_cell_angle_beta 108.43
_cell_angle_gamma 90.00
loop_
_atom_site_label
_atom_site_fract_x
_atom_site_fract_y
_atom_site_fract_z
_atom_site_occupancy
Na1 0.000 0.000 0.000 1
Tm1 0.500 0.500 0.000 1
Pb1 0.000 0.500 0.500 1
Pb2 0.500 0.000 0.500 1
Se1 0.258 0.500 0.233 1
Se2 0.267 0.000 0.774 1
# - VASP energy (eV per cell) = -35.70
# - formation energy from raw total energies (meV per atom) = -1069.3

=====

Entry 7:
# Na3UPb2Se6 (PBE, optimized geometry)
data_Na3UPb2Se6
_space_group_name_H-M_alt 'C 1 2/m 1'
_space_group_IT_number 12
_space_group_name_Hall '-C 2y'
_cell_length_a 7.485
_cell_length_b 12.972
_cell_length_c 7.330
_cell_angle_alpha 90.00
_cell_angle_beta 110.19
_cell_angle_gamma 90.00
loop_
_atom_site_label
_atom_site_fract_x
_atom_site_fract_y
_atom_site_fract_z
_atom_site_occupancy
Na1 0.000 0.000 0.000 1
Na2 0.000 0.327 0.000 1
U1 0.000 0.500 0.500 1
Pb1 0.000 0.166 0.500 1
Se1 0.224 0.500 0.268 1
Se2 0.231 0.348 0.736 1
# - VASP energy (eV per cell) = -111.09
# - formation energy from raw total energies (meV per atom) = -997.9

=====

Entry 8:
# NaUPb2Se4 (PBE, optimized geometry)
data_NaUPb2Se4
_space_group_name_H-M_alt 'P 1 2/m 1'
_space_group_IT_number 10
_space_group_name_Hall '-P 2y'
_cell_length_a 7.391
_cell_length_b 4.286
_cell_length_c 7.530
_cell_angle_alpha 90.00
_cell_angle_beta 108.58
_cell_angle_gamma 90.00
loop_
_atom_site_label
_atom_site_fract_x
_atom_site_fract_y
_atom_site_fract_z
_atom_site_occupancy
Na1 0.000 0.000 0.000 1
U1 0.500 0.500 0.000 1
Pb1 0.000 0.500 0.500 1
Pb2 0.500 0.000 0.500 1
Se1 0.257 0.500 0.237 1
Se2 0.266 0.000 0.771 1
# - VASP energy (eV per cell) = -40.48
# - formation energy from raw total energies (meV per atom) = -814.5

=====

Entry 9:
# Na2UPb2Se6 (PBE, optimized geometry)
data_Na2UPb2Se6
_space_group_name_H-M_alt 'C 1 2/m 1'
_space_group_IT_number 12
_space_group_name_Hall '-C 2y'
_cell_length_a 7.584
_cell_length_b 12.638
_cell_length_c 7.321
_cell_angle_alpha 90.00
_cell_angle_beta 110.39
_cell_angle_gamma 90.00
loop_
_atom_site_label
_atom_site_fract_x
_atom_site_fract_y
_atom_site_fract_z
_atom_site_occupancy
Na1 0.000 0.177 0.000 1
U1 0.000 0.000 0.500 1
Pb1 0.000 0.332 0.500 1
Se1 0.211 0.000 0.271 1
Se2 0.229 0.151 0.732 1
# - VASP energy (eV per cell) = -104.37
# - formation energy from raw total energies (meV per atom) = -903.0

=====

Entry 10:
# NaUPb2Se6 (PBE, optimized geometry)
data_NaUPb2Se6
_space_group_name_H-M_alt 'P 1 21/c 1'
_space_group_IT_number 14
_space_group_name_Hall '-P 2ybc'
_cell_length_a 7.212
_cell_length_b 8.059
_cell_length_c 12.164
_cell_angle_alpha 90.00
_cell_angle_beta 121.19
_cell_angle_gamma 90.00
loop_
_atom_site_label
_atom_site_fract_x
_atom_site_fract_y
_atom_site_fract_z
_atom_site_occupancy
Na1 0.000 0.000 0.000 1
U1 0.500 0.000 0.500 1
Pb1 0.174 0.087 0.699 1
Se1 0.142 0.179 0.451 1
Se2 0.260 0.723 0.416 1
Se3 0.401 0.056 0.260 1
# - VASP energy (eV per cell) = -95.88
# - formation energy from raw total energies (meV per atom) = -700.9

=====

Entry 11:
# Na2UPbSe4 (PBE, optimized geometry)
data_Na2UPbSe4
_space_group_name_H-M_alt 'P 1 2/m 1'
_space_group_IT_number 10
_space_group_name_Hall '-P 2y'
_cell_length_a 7.342
_cell_length_b 4.250
_cell_length_c 7.515
_cell_angle_alpha 90.00
_cell_angle_beta 109.19
_cell_angle_gamma 90.00
loop_
_atom_site_label
_atom_site_fract_x
_atom_site_fract_y
_atom_site_fract_z
_atom_site_occupancy
Na1 0.000 0.000 0.000 1
Na2 0.000 0.500 0.500 1
U1 0.500 0.000 0.500 1
Pb1 0.500 0.500 0.000 1
Se1 0.264 0.000 0.729 1
Se2 0.270 0.500 0.273 1
# - VASP energy (eV per cell) = -39.94
# - formation energy from raw total energies (meV per atom) = -1046.0

=====

Entry 12:
# NaPb2WSe (PBE, optimized geometry)
data_NaPb2WSe
_space_group_name_H-M_alt 'P 4/m m m'
_space_group_IT_number 123
_space_group_name_Hall '-P 4 2'
_cell_length_a 5.383
_cell_length_b 5.383
_cell_length_c 5.774
_cell_angle_alpha 90.00
_cell_angle_beta 90.00
_cell_angle_gamma 90.00
loop_
_atom_site_label
_atom_site_fract_x
_atom_site_fract_y
_atom_site_fract_z
_atom_site_occupancy
Na1 0.000 0.000 0.000 1
Pb1 0.000 0.500 0.500 1
W1 0.000 0.000 0.500 1
Se1 0.500 0.500 0.000 1
# - VASP energy (eV per cell) = -20.69
# - formation energy from raw total energies (meV per atom) = 897.0

=====

Entry 13:
# Na2ZrPb3Se6 (PBE, optimized geometry)
data_Na2ZrPb3Se6
_space_group_name_H-M_alt 'C 1 2/m 1'
_space_group_IT_number 12
_space_group_name_Hall '-C 2y'
_cell_length_a 7.422
_cell_length_b 12.793
_cell_length_c 7.330
_cell_angle_alpha 90.00
_cell_angle_beta 109.27
_cell_angle_gamma 90.00
loop_
_atom_site_label
_atom_site_fract_x
_atom_site_fract_y
_atom_site_fract_z
_atom_site_occupancy
Na1 0.000 0.168 0.000 1
Zr1 0.000 0.500 0.000 1
Pb1 0.000 0.000 0.500 1
Pb2 0.000 0.335 0.500 1
Se1 0.227 0.500 0.763 1
Se2 0.228 0.349 0.224 1
# - VASP energy (eV per cell) = -108.24
# - formation energy from raw total energies (meV per atom) = -908.6

=====

Entry 14:
# Na2ZrPbSe4 (PBE, optimized geometry)
data_Na2ZrPbSe4
_space_group_name_H-M_alt 'P 1 2/m 1'
_space_group_IT_number 10
_space_group_name_Hall '-P 2y'
_cell_length_a 7.311
_cell_length_b 4.090
_cell_length_c 7.381
_cell_angle_alpha 90.00
_cell_angle_beta 108.28
_cell_angle_gamma 90.00
loop_
_atom_site_label
_atom_site_fract_x
_atom_site_fract_y
_atom_site_fract_z
_atom_site_occupancy
Na1 0.000 0.000 0.000 1
Na2 0.000 0.500 0.500 1
Zr1 0.500 0.000 0.500 1
Pb1 0.500 0.500 0.000 1
Se1 0.268 0.000 0.723 1
Se2 0.278 0.500 0.282 1
# - VASP energy (eV per cell) = -37.50
# - formation energy from raw total energies (meV per atom) = -1083.0

=====

Entry 15:
# NaSi2Pb (PBE, optimized geometry)
data_NaSi2Pb
_space_group_name_H-M_alt 'I -4 2 d'
_space_group_IT_number 122
_space_group_name_Hall 'I -4 2bw'
_cell_length_a 8.123
_cell_length_b 8.123
_cell_length_c 5.781
_cell_angle_alpha 90.00
_cell_angle_beta 90.00
_cell_angle_gamma 90.00
loop_
_atom_site_label
_atom_site_fract_x
_atom_site_fract_y
_atom_site_fract_z
_atom_site_occupancy
Na1 0.000 0.000 0.000 1
Si1 0.217 0.250 0.625 1
Pb1 0.000 0.000 0.500 1
# - VASP energy (eV per cell) = -55.42
# - formation energy from raw total energies (meV per atom) = 504.4

=====

Entry 16:
# Na3SiPb (PBE, optimized geometry)
data_Na3SiPb
_space_group_name_H-M_alt 'P m -3 m'
_space_group_IT_number 221
_space_group_name_Hall '-P 4 2 3'
_cell_length_a 5.494
_cell_length_b 5.494
_cell_length_c 5.494
_cell_angle_alpha 90.00
_cell_angle_beta 90.00
_cell_angle_gamma 90.00
loop_
_atom_site_label
_atom_site_fract_x
_atom_site_fract_y
_atom_site_fract_z
_atom_site_occupancy
Na1 0.000 0.000 0.500 1
Si1 0.000 0.000 0.000 1
Pb1 0.500 0.500 0.500 1
# - relative energy among the computed polymorphs (eV per atom) = 0.0000
# - VASP energy (eV per cell) = -11.08
# - formation energy from raw total energies (meV per atom) = 401.0

=====

Entry 17:
# NaSi3Pb (PBE, optimized geometry)
data_NaSi3Pb
_space_group_name_H-M_alt 'P m -3 m'
_space_group_IT_number 221
_space_group_name_Hall '-P 4 2 3'
_cell_length_a 5.019
_cell_length_b 5.019
_cell_length_c 5.019
_cell_angle_alpha 90.00
_cell_angle_beta 90.00
_cell_angle_gamma 90.00
loop_
_atom_site_label
_atom_site_fract_x
_atom_site_fract_y
_atom_site_fract_z
_atom_site_occupancy
Na1 0.000 0.000 0.000 1
Si1 0.000 0.000 0.500 1
Pb1 0.500 0.500 0.500 1
# - relative energy among the computed polymorphs (eV per atom) = 0.0510
# - VASP energy (eV per cell) = -14.98
# - formation energy from raw total energies (meV per atom) = 1262.9

=====

Entry 18:
# Na3SiPb (PBE, optimized geometry)
data_Na3SiPb
_space_group_name_H-M_alt 'P m -3 m'
_space_group_IT_number 221
_space_group_name_Hall '-P 4 2 3'
_cell_length_a 5.865
_cell_length_b 5.865
_cell_length_c 5.865
_cell_angle_alpha 90.00
_cell_angle_beta 90.00
_cell_angle_gamma 90.00
loop_
_atom_site_label
_atom_site_fract_x
_atom_site_fract_y
_atom_site_fract_z
_atom_site_occupancy
Na1 0.000 0.000 0.500 1
Si1 0.500 0.500 0.500 1
Pb1 0.000 0.000 0.000 1
# - relative energy among the computed polymorphs (eV per atom) = 0.2966
# - VASP energy (eV per cell) = -9.60
# - formation energy from raw total energies (meV per atom) = 697.6

=====

Entry 19:
# NaSi2Pb2 (PBE, optimized geometry)
data_NaSi2Pb2
_space_group_name_H-M_alt 'I 4/m m m'
_space_group_IT_number 139
_space_group_name_Hall '-I 4 2'
_cell_length_a 5.283
_cell_length_b 5.283
_cell_length_c 9.497
_cell_angle_alpha 90.00
_cell_angle_beta 90.00
_cell_angle_gamma 90.00
loop_
_atom_site_label
_atom_site_fract_x
_atom_site_fract_y
_atom_site_fract_z
_atom_site_occupancy
Na1 0.000 0.000 0.000 1
Si1 0.000 0.000 0.376 1
Pb1 0.000 0.500 0.250 1
# - relative energy among the computed polymorphs (eV per atom) = 0.0359
# - VASP energy (eV per cell) = -36.97
# - formation energy from raw total energies (meV per atom) = 219.3

=====

Entry 20:
# NaSi3Pb (PBE, optimized geometry)
data_NaSi3Pb
_space_group_name_H-M_alt 'P m -3 m'
_space_group_IT_number 221
_space_group_name_Hall '-P 4 2 3'
_cell_length_a 5.403
_cell_length_b 5.403
_cell_length_c 5.403
_cell_angle_alpha 90.00
_cell_angle_beta 90.00
_cell_angle_gamma 90.00
loop_
_atom_site_label
_atom_site_fract_x
_atom_site_fract_y
_atom_site_fract_z
_atom_site_occupancy
Na1 0.000 0.000 0.000 1
Si1 0.000 0.500 0.500 1
Pb1 0.500 0.500 0.500 1
# - relative energy among the computed polymorphs (eV per atom) = 0.0000
# - VASP energy (eV per cell) = -15.24
# - formation energy from raw total energies (meV per atom) = 1211.9